# 1
VASP calculation (PBE) on a relaxed structure of GaTcIr2.

abc: 2.7717 2.7717 8.8880
angles: 81.03 81.03 60.00
Closest atoms and distances in Å follow each position.
Sites, in units of the cell vectors:
Ir  0.7492  0.7492  0.7524  3 Ga 2.69, 3 Tc 2.73, 6 Ir 2.77
Ir  0.2508  0.2508  0.2476  3 Ga 2.69, 3 Tc 2.73, 6 Ir 2.77
Tc  0.5000  0.5000  0.5000  6 Ir 2.73, 6 Tc 2.77
Ga  0.0000  0.0000  0.0000  6 Ir 2.69, 6 Ga 2.77

Computed properties:
**V**: 58.2 Å³ per cell
**SG**: R-3m (166)
**DFT formation energy**: -0.172 eV/atom

# 2
VASP calculation (PBE) on a relaxed structure of CeHoGe.

abc: 4.9229 4.9229 4.9229
angles: 60.00 60.00 60.00
Closest atoms and distances in Å follow each position.
Sites, in units of the cell vectors:
Ge  0.2500  0.2500  0.2500  4 Ce 3.01, 4 Ho 3.01
Ho  0.0000  0.0000  0.0000  4 Ge 3.01
Ce  0.5000  0.5000  0.5000  4 Ge 3.01

Computed properties:
**V**: 84.4 Å³ per cell
**SG**: F-43m (216)
**DFT formation energy**: -0.408 eV/atom

# 3
VASP calculation (PBE) on a relaxed structure of RbYP2O.

abc: 5.6199 5.6199 4.4001
angles: 90.00 90.00 90.00
Closest atoms and distances in Å follow each position.
Sites, in units of the cell vectors:
Y  0.0000  0.0000  0.0000  2 O 2.20
P  0.0000  0.5000  0.0000  2 Y 2.81
P  0.5000  0.0000  0.0000  2 Y 2.81
O  0.0000  0.0000  0.5000  2 Y 2.20
Rb  0.5000  0.5000  0.5000  8 P 3.57, 4 O 3.97

Computed properties:
**V**: 139.0 Å³ per cell
**Energy above the lowest structure with this stoichiometry**: 0 meV per atom
**SG**: P4/mmm (123)
**ΔE_f (raw)**: -0.494 eV per atom

# 4
VASP calculation (PBE) on a relaxed structure of LaTiCd2Ga.

abc: 5.0150 5.6898 5.0150
angles: 90.00 90.00 90.00
Closest atoms and distances in Å follow each position.
Sites, in units of the cell vectors:
Cd  0.0000  0.0000  0.5000  2 Ga 2.51
Cd  0.5000  0.0000  0.0000  2 Ga 2.51
Ti  0.5000  0.5000  0.5000  4 La 3.55, 8 Cd 3.79
Ga  0.0000  0.0000  0.0000  4 Cd 2.51
La  0.0000  0.5000  0.0000  2 Ga 2.84

Computed properties:
**V**: 143.1 Å³ per cell
**SG**: P4/mmm (123)
**DFT formation energy**: 0.494 eV/atom

# 5
VASP calculation (PBE) on a relaxed structure of TlCd3.

abc: 3.3316 4.4988 6.6926
angles: 90.00 90.00 90.00
Closest atoms and distances in Å follow each position.
Sites, in units of the cell vectors:
Tl  0.0000  0.0000  0.0000  2 Tl 3.33, 10 Cd 3.33-3.35
Cd  0.5000  0.5000  0.7294  7 Cd 3.07-3.33, 4 Tl 3.33
Cd  0.0000  0.0000  0.5000  10 Cd 3.19-3.33, 2 Tl 3.35
Cd  0.5000  0.5000  0.2706  7 Cd 3.07-3.33, 4 Tl 3.33

Computed properties:
**V**: 100.3 Å³ per cell
**SG**: Pmmm (47)
**DFT formation energy**: 0.048 eV/atom

# 6
VASP calculation (PBE) on a relaxed structure of LiCa4Ho3Te8.

abc: 8.8082 8.8476 8.8077
angles: 119.85 120.00 90.00
Closest atoms and distances in Å follow each position.
Sites, in units of the cell vectors:
Li  0.0000  0.5000  0.0000  6 Te 3.06
Ca  0.5000  0.0000  0.0000  6 Te 3.18
Ca  0.5000  0.0000  0.5000  6 Te 3.15-3.16
Ca  0.0000  0.0000  0.0000  6 Te 3.15-3.16
Ca  0.0000  0.0000  0.5000  6 Te 3.15-3.16
Ho  0.5000  0.5000  0.0000  6 Te 3.08-3.09
Ho  0.5000  0.5000  0.5000  6 Te 3.08-3.09
Ho  0.0000  0.5000  0.5000  6 Te 3.08-3.09
Te  0.2452  0.7394  0.9941  1 Li 3.06, 2 Ho 3.08, 3 Ca 3.16-3.18
Te  0.2452  0.7393  0.4903  1 Li 3.06, 2 Ho 3.08, 3 Ca 3.16-3.18
Te  0.2523  0.2569  0.5046  3 Ho 3.09, 3 Ca 3.15
Te  0.7489  0.7394  0.9941  1 Li 3.06, 2 Ho 3.08, 3 Ca 3.16-3.18
Te  0.2511  0.2606  0.0059  1 Li 3.06, 2 Ho 3.08, 3 Ca 3.16-3.18
Te  0.7477  0.7431  0.4954  3 Ho 3.09, 3 Ca 3.15
Te  0.7548  0.2607  0.5097  1 Li 3.06, 2 Ho 3.08, 3 Ca 3.16-3.18
Te  0.7548  0.2606  0.0059  1 Li 3.06, 2 Ho 3.08, 3 Ca 3.16-3.18

Computed properties:
**V**: 486.4 Å³ per cell
**SG**: R-3m (166)
**ΔE_f (raw)**: -1.454 eV per atom

# 7
VASP calculation (PBE) on a relaxed structure of Ni3OsRh8.

abc: 6.9793 6.9793 6.9793
angles: 71.02 131.50 131.50
Closest atoms and distances in Å follow each position.
Sites, in units of the cell vectors:
Ni  0.5000  0.7500  0.2500  8 Rh 2.46
Ni  0.5000  0.2500  0.7500  8 Rh 2.46
Ni  0.0000  0.5000  0.5000  8 Rh 2.47
Os  0.0000  0.0000  0.0000  8 Rh 2.52
Rh  0.4926  0.8736  0.8736  3 Ni 2.46-2.47, 1 Os 2.52
Rh  0.5074  0.3811  0.3811  3 Ni 2.46-2.47, 1 Os 2.52
Rh  0.0000  0.1264  0.6189  3 Ni 2.46-2.47, 1 Os 2.52
Rh  0.0000  0.6189  0.1264  3 Ni 2.46-2.47, 1 Os 2.52
Rh  0.5077  0.1265  0.1265  3 Ni 2.46-2.47, 1 Os 2.52
Rh  0.4923  0.6188  0.6188  3 Ni 2.46-2.47, 1 Os 2.52
Rh  0.0000  0.8735  0.3812  3 Ni 2.46-2.47, 1 Os 2.52
Rh  0.0000  0.3812  0.8735  3 Ni 2.46-2.47, 1 Os 2.52

Computed properties:
**V**: 186.7 Å³ per cell
**SG**: I4/mmm (139)
**DFT formation energy**: 0.477 eV/atom

# 8
VASP calculation (PBE) on a relaxed structure of Rb3MgSb.

abc: 7.1412 7.1412 7.1412
angles: 90.00 90.00 90.00
Closest atoms and distances in Å follow each position.
Sites, in units of the cell vectors:
Sb  0.0000  0.0000  0.0000  6 Rb 3.57
Mg  0.5000  0.5000  0.5000  12 Rb 5.05
Rb  0.0000  0.5000  0.0000  2 Sb 3.57
Rb  0.0000  0.0000  0.5000  2 Sb 3.57
Rb  0.5000  0.0000  0.0000  2 Sb 3.57

Computed properties:
**V**: 364.2 Å³ per cell
**Energy above the lowest structure with this stoichiometry**: 142 meV per atom
**SG**: Pm-3m (221)
**ΔE_f (raw)**: 0.045 eV per atom